{
  "formula": "AgRh2Br",
  "functional": "PBE",
  "state": "relaxed",
  "sg": "Immm, No. 71",
  "energy_ev_per_fu": -16.9,
  "raw_formation_energy_kj_per_mol_atoms": 56,
  "e_above_lowest_polymorph_ev_per_atom": 0.270,
  "n_ef_per_ev_atom": 1.18,
  "lattice_angstrom": [[5.4403, 0.0027, 0.0029], [2.4184, 4.8732, -0.0029], [-3.2371, -3.5537, 2.5475]],
  "species": ["Ag", "Rh", "Rh", "Br"],
  "frac_coords": [[0.2500, 0.7500, 0.5000], [0.5161, 0.5161, 0.0000], [0.9839, 0.9839, 0.0000], [0.7500, 0.2500, 0.5000]]
}